An optimized crystal structure of MnSb2CI, computed with PBE.

Calculated values
- Formation energy without anion corrections: 1.61 eV/atom
- Space-group type: P4/mmm, No. 123

Geometry as POSCAR:
```
MnSb2CI
1.0
4.658 0.000 0.000
0.000 4.658 0.000
0.000 0.000 4.882
I Sb C Mn
1 2 1 1
direct
0.000 0.000 0.500
0.000 0.500 0.000
0.500 0.000 0.000
0.000 0.000 0.000
0.500 0.500 0.500
```